No. 1
A plane-wave DFT calculation with GGA-PBE was carried out for crystalline GdBeRu at its relaxed geometry.

Calculated values
* energy of formation from the pure elements: -59 kJ/mol of formula units
* ΔE to the lowest computed polymorph: 32.0 meV/atom
* total energy: -9.23 eV per atom
* spin magnetization: 2.4251 μB per atom

Lattice parameters (Å, degrees): 3.219 3.219 9.696 90.00 90.00 90.00
Space group I4mm (No. 107)
Inequivalent atoms, fractional coordinates:
Gd: 0.000 0.000 0.000 x2
Be: 0.000 0.000 0.717 x2
Ru: 0.000 0.000 0.284 x2

=====

No. 2
A plane-wave DFT calculation with GGA-PBE was carried out for crystalline GdBeRu at its relaxed geometry.

Calculated values
* energy of formation from the pure elements: -69 kJ/mol of formula units
* ΔE to the lowest computed polymorph: 0.0 meV/atom
* total energy: -9.26 eV per atom
* spin magnetization: 2.3155 μB per atom

Lattice parameters (Å, degrees): 3.9830 3.9830 3.8795 90.00 90.00 120.00
Space group P-6m2 (No. 187)
Inequivalent atoms, fractional coordinates:
Gd: 0.0000 0.0000 0.0000 x1
Be: 0.3333 0.6667 0.5000 x1
Ru: 0.6667 0.3333 0.5000 x1

=====

No. 3
A plane-wave DFT calculation with GGA-PBE was carried out for crystalline Gd2BeRu at its relaxed geometry.

Calculated values
* energy of formation from the pure elements: -37 kJ/mol of formula units
* total energy: -10.39 eV per atom
* spin magnetization: 3.5579 μB per atom

Lattice parameters (Å, degrees): 3.462 3.462 6.800 90.00 90.00 90.00
Space group P4/mmm (No. 123)
Inequivalent atoms, fractional coordinates:
Gd: 0.000 0.000 0.249 x2
Be: 0.500 0.500 0.500 x1
Ru: 0.500 0.500 0.000 x1

=====

No. 4
A plane-wave DFT calculation with GGA-PBE was carried out for crystalline GdScBeRu at its relaxed geometry.

Calculated values
* energy of formation from the pure elements: -64 kJ/mol of formula units
* total energy: -8.52 eV per atom
* spin magnetization: 1.7612 μB per atom

Lattice parameters (Å, degrees): 6.659 6.659 6.659 90.00 90.00 90.00
Space group F-43m (No. 216)
Inequivalent atoms, fractional coordinates:
Gd: 0.000 0.000 0.000 x4
Sc: 0.000 0.000 0.500 x4
Be: 0.250 0.250 0.750 x4
Ru: 0.250 0.250 0.250 x4

=====

No. 5
A plane-wave DFT calculation with GGA-PBE was carried out for crystalline TbGdBeRu at its relaxed geometry.

Calculated values
* energy of formation from the pure elements: -40 kJ/mol of formula units
* total energy: -8.03 eV per atom
* spin magnetization: 1.7416 μB per atom

Lattice parameters (Å, degrees): 6.876 6.876 6.876 90.00 90.00 90.00
Space group F-43m (No. 216)
Inequivalent atoms, fractional coordinates:
Tb: 0.000 0.000 0.000 x4
Gd: 0.000 0.000 0.500 x4
Be: 0.250 0.250 0.750 x4
Ru: 0.250 0.250 0.250 x4

=====

No. 6
A plane-wave DFT calculation with GGA-PBE was carried out for crystalline GdBeS2 at its relaxed geometry.

Calculated values
* uncorrected formation energy: -0.470 eV per atom
* total energy: -6.99 eV per atom
* spin magnetization: 1.7923 μB per atom

Lattice parameters (Å, degrees): 3.5813 3.5813 22.5633 90.00 90.00 120.00
Space group R-3m (No. 166, hexagonal axes)
Inequivalent atoms, fractional coordinates:
Gd: 0.0000 0.0000 0.0000 x3
Be: 0.0000 0.0000 0.5000 x3
S: 0.0000 0.0000 0.1149 x6

=====

No. 7
A plane-wave DFT calculation with GGA-PBE was carried out for crystalline Gd2ScBe at its relaxed geometry.

Calculated values
* energy of formation from the pure elements: 39 kJ/mol of formula units
* ΔE to the lowest computed polymorph: 0.0 meV/atom
* total energy: -9.45 eV per atom
* spin magnetization: 3.6555 μB per atom

Lattice parameters (Å, degrees): 3.460 3.460 8.176 90.00 90.00 90.00
Space group P4/mmm (No. 123)
Inequivalent atoms, fractional coordinates:
Gd: 0.000 0.000 0.204 x2
Sc: 0.500 0.500 0.500 x1
Be: 0.500 0.500 0.000 x1

=====

No. 8
A plane-wave DFT calculation with GGA-PBE was carried out for crystalline GdScBe4 at its relaxed geometry.

Calculated values
* energy of formation from the pure elements: 14 kJ/mol of formula units
* total energy: -5.86 eV per atom
* spin magnetization: 1.1616 μB per atom

Lattice parameters (Å, degrees): 6.948 6.948 6.948 90.00 90.00 90.00
Space group F-43m (No. 216)
Inequivalent atoms, fractional coordinates:
Gd: 0.000 0.000 0.000 x4
Sc: 0.250 0.250 0.750 x4
Be: 0.123 0.123 0.377 x16